[1]
Material: Y2CN2O2
Method: DFT, PBE
State: optimized geometry

Calculated values
Electronic total energy   -9.122 eV/atom
Theoretical density   4.2 g/cm³
Magnetic moment   0.0 μB per cell
ΔE_f (raw)   -2.16 eV/atom

```
7
Lattice="-0.423 0.069 3.719 -0.677 -3.152 -1.902 7.865 -2.254 0.936" Properties=species:S:1:pos:R:3 pbc="T T T"
Y 2.028 -1.731 2.147
Y 4.737 -3.606 0.606
C 7.865 -2.254 0.936
O 4.239 -2.365 2.410
O 2.526 -2.972 0.342
N 6.684 -1.916 0.795
N 1.181 -0.338 0.140
```


[2]
Material: YCN2O
Method: DFT, PBE
State: optimized geometry

Calculated values
Electronic total energy   -7.146 eV/atom
Theoretical density   4.9 g/cm³
Magnetic moment   0.2 μB per cell
ΔE_f (raw)   0.31 eV/atom

```
5
Lattice="-0.597 3.140 0.416 -1.957 -0.699 2.464 3.617 0.297 2.957" Properties=species:S:1:pos:R:3 pbc="T T T"
Y 0.531 1.369 2.918
C 0.000 0.000 0.000
O 1.808 0.148 1.478
N -0.978 -0.349 1.232
N -0.299 1.570 0.208
```


[3]
Material: Y8C3N3O
Method: DFT, PBE
State: optimized geometry

Calculated values
Electronic total energy   -8.429 eV/atom
Theoretical density   5.4 g/cm³
Magnetic moment   0.2 μB per cell
ΔE_f (raw)   -1.14 eV/atom

```
15
Lattice="-0.003 -3.618 -6.061 -4.845 -1.389 4.941 -0.288 6.063 -3.619" Properties=species:S:1:pos:R:3 pbc="T T T"
Y -2.476 -0.104 0.063
Y -2.660 1.161 -4.802
Y -2.533 -1.900 -2.975
Y -2.603 2.956 -1.763
Y -4.915 -2.583 -0.545
Y -0.221 3.639 -4.193
Y -4.914 -0.744 2.535
Y -0.222 1.800 -7.274
C -0.145 1.223 -4.840
C -2.568 0.528 -2.369
C -2.567 2.337 0.661
N 0.000 0.000 0.000
N -2.423 -0.695 2.471
N -2.424 -2.503 -0.560
O -0.144 3.032 -1.810
```